Entry 1:
SrAg2AuBr8 after structural relaxation, computed with GGA-PBE.

```
SrAg2AuBr8
1.0
-2.4741 5.8037 4.2431
-5.9996 -0.9680 -2.9581
-2.0767 -5.2100 5.9137
Sr Ag Au Br
1 2 1 8
Direct
0.0000 0.0000 0.5000
0.5000 0.5000 0.7582
0.5000 0.5000 0.2418
0.0000 0.0000 0.0000
0.1402 0.7829 0.2090
0.6477 0.7143 0.0000
0.8597 0.2171 0.2089
0.8598 0.2171 0.7910
0.3523 0.2857 0.0000
0.1403 0.7829 0.7911
0.6678 0.6910 0.5000
0.3322 0.3090 0.5000
```

total energy = -2.634 eV/atom
space group = P2/m (10)

Entry 2:
Tl2Ag2AuBr6 after structural relaxation, computed with GGA-PBE.

```
Tl2Ag2AuBr6
1.0
-5.9237 4.0457 -1.7030
-1.4198 -8.6492 0.3509
-0.3715 2.0768 6.2258
Tl Ag Au Br
2 2 1 6
Direct
0.7365 0.4730 0.1904
0.2635 0.5270 0.8096
0.9502 0.9005 0.7700
0.0498 0.0995 0.2300
0.5000 0.0000 0.5000
0.7838 0.5675 0.7054
0.1823 0.8549 0.2218
0.3275 0.1451 0.7782
0.8177 0.1451 0.7782
0.6725 0.8549 0.2218
0.2162 0.4325 0.2946
```

total energy = -2.596 eV/atom
space group = C2/m (12)

Entry 3:
Tl3AgAu2Br9 after structural relaxation, computed with GGA-PBE.

```
Tl3AgAu2Br9
1.0
7.6158 0.0000 0.0000
-3.8079 6.5954 0.0000
0.0000 0.0000 9.3654
Tl Ag Au Br
3 1 2 9
Direct
0.3333 0.6667 0.6298
0.0000 0.0000 0.0000
0.6667 0.3333 0.3702
0.0000 0.0000 0.5000
0.3333 0.6667 0.1631
0.6667 0.3333 0.8369
0.8318 0.1682 0.6694
0.8318 0.6635 0.6694
0.3365 0.1682 0.6694
0.6635 0.8318 0.3306
0.1682 0.3365 0.3306
0.1682 0.8318 0.3306
0.5000 0.0000 0.0000
0.0000 0.5000 0.0000
0.5000 0.5000 0.0000
```

total energy = -2.531 eV/atom
space group = P-3m1 (164)

Entry 4:
TlAg2AuBr8 after structural relaxation, computed with GGA-PBE.

```
TlAg2AuBr8
1.0
-6.1331 -0.4304 -3.5967
1.4750 -6.4244 2.7009
-5.8756 0.9319 6.4883
Tl Ag Au Br
1 2 1 8
Direct
0.0000 0.0000 0.5000
0.5443 0.3241 0.6599
0.4557 0.6759 0.3401
0.0000 0.0000 0.0000
0.1039 0.7275 0.3255
0.6606 0.7360 0.0428
0.8769 0.1630 0.2236
0.8961 0.2725 0.6745
0.3394 0.2640 0.9572
0.1231 0.8370 0.7764
0.5999 0.7368 0.5987
0.4001 0.2632 0.4013
```

total energy = -2.374 eV/atom
space group = P-1 (2)

Entry 5:
Tl2AgAuBr5 after structural relaxation, computed with GGA-PBE.

```
Tl2AgAuBr5
1.0
4.1082 0.0000 0.0000
-2.0541 10.2505 0.0000
0.0000 0.0000 13.6261
Tl Ag Au Br
4 2 2 10
Direct
0.8599 0.7198 0.8224
0.1301 0.2602 0.6944
0.1401 0.2802 0.3224
0.8699 0.7398 0.1944
0.7865 0.5730 0.5131
0.2135 0.4270 0.0131
0.5282 0.0565 0.9418
0.4718 0.9435 0.4418
0.3583 0.7166 0.0104
0.6989 0.3978 0.8789
0.4956 0.9912 0.7652
0.2919 0.5837 0.6498
0.9515 0.9029 0.5480
0.6417 0.2834 0.5104
0.3011 0.6022 0.3789
0.5044 0.0088 0.2652
0.7081 0.4163 0.1498
0.0485 0.0971 0.0480
```

total energy = -2.582 eV/atom
space group = Cmc2_1 (36)

Entry 6:
Tl2AgAu2Br6 after structural relaxation, computed with GGA-PBE.

```
Tl2AgAu2Br6
1.0
-1.8348 6.0887 3.6410
-6.4725 -4.2915 -3.4589
3.9223 -2.6801 6.4585
Tl Ag Au Br
2 1 2 6
Direct
0.7516 0.5032 0.2326
0.2484 0.4968 0.7674
0.5000 0.0000 0.5000
0.9362 0.8723 0.7684
0.0638 0.1277 0.2316
0.7455 0.4911 0.6529
0.1845 0.8668 0.2043
0.3178 0.1332 0.7957
0.8155 0.1332 0.7957
0.6822 0.8668 0.2043
0.2545 0.5089 0.3471
```

total energy = -2.566 eV/atom
space group = C2/m (12)

Entry 7:
VAgAuBr2 after structural relaxation, computed with GGA-PBE.

```
VAgAuBr2
1.0
5.0692 0.0000 0.0000
0.0000 5.6320 0.0000
0.0000 0.0000 5.0692
Au Br Ag V
1 2 1 1
Direct
0.5000 0.5000 0.5000
0.0000 0.0000 0.5000
0.5000 0.0000 0.0000
0.0000 0.0000 0.0000
0.0000 0.5000 0.0000
```

total energy = -2.884 eV/atom
space group = P4/mmm (123)

Entry 8:
VAgAu2Br after structural relaxation, computed with GGA-PBE.

```
VAgAu2Br
1.0
-0.9092 -4.4384 2.4670
2.8977 1.3138 3.4317
-3.9474 2.1943 2.4931
Au Br Ag V
2 1 1 1
Direct
0.0000 0.0000 0.5000
0.5000 0.0000 0.0000
0.0000 0.0000 0.0000
0.5000 0.5000 0.5000
0.0000 0.5000 0.0000
```

total energy = -3.035 eV/atom
space group = P4/mmm (123)

> Look up the total energy of the seventh one.

-2.884 eV/atom

> Number 1 is which compound?

SrAg2AuBr8

> Among the records above, which one has the highest total energy?

TlAg2AuBr8